First-principles (PBE-GGA) data for crystalline Pm7Cu2Ru2 at its relaxed geometry, as listed in Alexandria via LeMat-Bulk.

abc: 6.825 6.825 7.099
angles: 90.00 90.00 112.65
Element x y z (fractional)
Pm 0.000 0.000 0.000
Pm 0.000 0.500 0.267
Pm 0.000 0.500 0.733
Pm 0.500 0.000 0.267
Pm 0.500 0.000 0.733
Pm 0.500 0.500 0.257
Pm 0.500 0.500 0.743
Cu 0.162 0.162 0.500
Cu 0.838 0.838 0.500
Ru 0.308 0.692 0.000
Ru 0.692 0.308 0.000

## Properties
Energy in eV per cell: -60.5
Magnetic moment in μB/f.u.: 0.0

***

First-principles (PBE-GGA) data for crystalline Pm6CuRu2 at its relaxed geometry, as listed in Alexandria via LeMat-Bulk.

abc: 6.217 6.217 11.231
angles: 106.42 106.42 40.13
Element x y z (fractional)
Pm 0.005 0.005 0.260
Pm 0.328 0.328 0.910
Pm 0.332 0.332 0.417
Pm 0.668 0.668 0.583
Pm 0.672 0.672 0.090
Pm 0.995 0.995 0.740
Cu 0.000 0.000 0.000
Ru 0.334 0.334 0.672
Ru 0.666 0.666 0.328

## Properties
Energy in eV per cell: -52.1
Magnetic moment in μB/f.u.: 0.0